(1)
VASP calculation (PBE) on a relaxed structure of Sr2GaGePt6.

Unit cell a=5.597 b=6.759 c=6.859 alpha=84.41 beta=65.94 gamma=65.64
Element x y z (fractional)
Sr: 0.046 0.209 0.199
Sr: 0.954 0.791 0.801
Ga: 0.500 0.500 0.000
Ge: 0.500 0.000 0.500
Pt: 0.002 0.263 0.727
Pt: 0.365 0.386 0.384
Pt: 0.492 0.737 0.273
Pt: 0.508 0.263 0.727
Pt: 0.635 0.614 0.616
Pt: 0.998 0.737 0.273

## Properties
Formation energy ... -6.95 eV/f.u.
Spin magnetization ... 0.000 Bohr magnetons per cell
Symmetry ... No. 2

(2)
VASP calculation (PBE) on a relaxed structure of LiSmZrSn.

Unit cell a=5.103 b=5.103 c=5.103 alpha=60.00 beta=60.00 gamma=60.00
Element x y z (fractional)
Li: 0.000 0.000 0.000
Sm: 0.250 0.250 0.250
Zr: 0.750 0.750 0.750
Sn: 0.500 0.500 0.500

## Properties
Formation energy ... -1.06 eV/f.u.
Spin magnetization ... 0.000 Bohr magnetons per cell
Symmetry ... No. 216

(3)
VASP calculation (PBE) on a relaxed structure of CaTa3.

Unit cell a=2.957 b=4.748 c=6.278 alpha=90.00 beta=99.00 gamma=90.00
Element x y z (fractional)
Ca: 0.000 0.000 0.000
Ta: 0.251 0.500 0.693
Ta: 0.500 0.000 0.500
Ta: 0.749 0.500 0.307

## Properties
Formation energy ... 2.03 eV/f.u.
Spin magnetization ... 0.000 Bohr magnetons per cell
Symmetry ... No. 10

(4)
VASP calculation (PBE) on a relaxed structure of BeBr3.

Unit cell a=6.758 b=6.758 c=6.758 alpha=118.01 beta=118.01 gamma=93.47
Element x y z (fractional)
Be: 0.000 0.000 0.000
Be: 0.750 0.250 0.500
Br: 0.250 0.750 0.500
Br: 0.375 0.236 0.361
Br: 0.500 0.500 0.000
Br: 0.764 0.125 0.139
Br: 0.875 0.014 0.639
Br: 0.986 0.625 0.861

## Properties
Offset from the most stable computed form ... 0.173 eV per atom
Spin magnetization ... 2.000 Bohr magnetons per cell
Symmetry ... No. 122